Density functional theory data (PBE-GGA) for a relaxed structure of Zn2GaTc.

Calculated values
- magnetic moment (μB/f.u.) = 0.54
- calculated formation energy (eV/f.u.) = -0.15
- density (g cm⁻³) = 8.6

Cell: 3.7658 3.7658 4.0507 Å, 90.00 90.00 90.00°
Closest atoms and distances in Å follow each position.
Space group P4/mmm (No. 123)
Inequivalent atoms, fractional coordinates:
1 Zn 0.0000 0.5000 0.0000  4 Zn 2.66, 4 Tc 2.77, 4 Ga 2.77
2 Ga 0.0000 0.0000 0.5000  4 Tc 2.66, 8 Zn 2.77
3 Tc 0.5000 0.5000 0.5000  4 Ga 2.66, 8 Zn 2.77